Below is crystalline NdTm2Sn2 at its relaxed geometry, with properties calculated at the PBE-GGA level.

Values from the calculation:
* space group: P2_1/m
* ΔH_f (0 K): -2.1 eV/f.u.
* raw total energy: -4.763 eV/atom
* density of states at the Fermi level: 1.0754 states/eV/atom
* crystal system: monoclinic

Cell: 5.627 4.027 13.183 Å, 90.00 96.87 90.00°
Fractional positions:
Nd  0.196  0.250  0.248
Nd  0.804  0.750  0.752
Tm  0.246  0.750  0.472
Tm  0.329  0.250  0.891
Tm  0.671  0.750  0.109
Tm  0.754  0.250  0.528
Sn  0.168  0.750  0.048
Sn  0.286  0.250  0.660
Sn  0.714  0.750  0.340
Sn  0.832  0.250  0.952



Below is crystalline VCu2PtCl at its relaxed geometry, with properties calculated at the PBE-GGA level.

Values from the calculation:
* space group: P4/mmm
* formation energy without anion corrections: 647 meV per atom
* raw total energy: -4.392 eV/atom
* density of states at the Fermi level: 1.1283 states/eV/atom
* crystal system: tetragonal

Cell: 4.286 4.286 4.401 Å, 90.00 90.00 90.00°
Fractional positions:
V  0.000  0.000  0.000
Cu  0.000  0.500  0.500
Cu  0.500  0.000  0.500
Pt  0.500  0.500  0.000
Cl  0.000  0.000  0.500



Below is crystalline CoSi2Rh at its relaxed geometry, with properties calculated at the PBE-GGA level.

Values from the calculation:
* space group: P4mm
* formation energy without anion corrections: -129 meV per atom
* ΔE to the lowest computed polymorph: 457.0 meV per atom
* raw total energy: -6.455 eV/atom
* density of states at the Fermi level: 0.4358 states/eV/atom
* crystal system: tetragonal

Cell: 2.708 2.708 7.046 Å, 90.00 90.00 90.00°
Fractional positions:
Co  0.000  0.000  0.000
Si  0.000  0.000  0.496
Si  0.500  0.500  0.806
Rh  0.500  0.500  0.272



Below is crystalline Hf2PtAu6 at its relaxed geometry, with properties calculated at the PBE-GGA level.

Values from the calculation:
* space group: C2/m
* ΔH_f (0 K): -4.0 eV/f.u.
* raw total energy: -5.516 eV/atom
* density of states at the Fermi level: 0.4467 states/eV/atom
* crystal system: monoclinic

Cell: 6.938 6.938 7.057 Å, 113.09 113.09 32.05°
Fractional positions:
Hf  0.058  0.058  0.316
Hf  0.942  0.942  0.684
Pt  0.500  0.500  0.000
Au  0.163  0.163  0.998
Au  0.277  0.277  0.665
Au  0.395  0.395  0.338
Au  0.605  0.605  0.662
Au  0.723  0.723  0.335
Au  0.837  0.837  0.002